Material: CaSiNi2F
Method: DFT, PBE with a Hubbard U
State: relaxed

Cell lengths 4.1304, 4.1304, 4.7394 Å; angles 90.00, 90.00, 90.00 degrees
Positions (direct):
Ca (0.0000, 0.0000, 0.0000)
Si (0.5000, 0.5000, 0.0000)
Ni (0.0000, 0.5000, 0.5000)
Ni (0.5000, 0.0000, 0.5000)
F (0.5000, 0.5000, 0.5000)

Computed properties:
As for the calculated volume: 16.17 Å³/atom. As for the uncorrected energy: -2.802 eV/atom. The density is 4.20 g cm⁻³. The density of states at the Fermi level is 2.7 states/eV per cell.